No. 1
{
  "formula": "Tl2HgSb",
  "functional": "SCAN",
  "state": "single point on PBEsol structure",
  "lattice_angstrom": [[9.591, 0.000, 0.000], [0.000, 3.227, 0.000], [-0.454, 0.000, 7.200]],
  "species": ["Tl", "Tl", "Tl", "Tl", "Hg", "Hg", "Sb", "Sb"],
  "fractional_positions": [[0.247, 0.000, 0.255], [0.253, 0.500, 0.745], [0.747, 0.500, 0.255], [0.753, 0.000, 0.745], [0.000, 0.000, 0.500], [0.500, 0.500, 0.500], [0.000, 0.500, 0.000], [0.500, 0.000, 0.000]],
  "space_group": "C2/m (12)",
  "relative_energy_mev_per_atom": 25
}

=====

No. 2
{
  "formula": "KLaIn2",
  "functional": "SCAN",
  "state": "single point on PBEsol structure",
  "lattice_angstrom": [[5.709, 0.000, 0.000], [0.000, 5.709, 0.000], [0.000, 0.000, 3.792]],
  "species": ["K", "La", "In", "In"],
  "fractional_positions": [[0.000, 0.000, 0.000], [0.500, 0.500, 0.000], [0.000, 0.500, 0.500], [0.500, 0.000, 0.500]],
  "space_group": "P4/mmm (123)",
  "ef_mev_per_atom": -349
}

=====

No. 3
{
  "formula": "SiTe",
  "functional": "SCAN",
  "state": "single point on PBEsol structure",
  "lattice_angstrom": [[3.842, 0.000, 0.000], [-1.921, 3.328, 0.000], [0.000, 0.000, 23.605]],
  "species": ["Si", "Si", "Si", "Si", "Si", "Si", "Te", "Te", "Te", "Te", "Te", "Te"],
  "fractional_positions": [[0.000, 0.000, 0.136], [0.000, 0.000, 0.864], [0.333, 0.667, 0.531], [0.333, 0.667, 0.802], [0.667, 0.333, 0.198], [0.667, 0.333, 0.469], [0.000, 0.000, 0.406], [0.000, 0.000, 0.594], [0.333, 0.667, 0.073], [0.333, 0.667, 0.261], [0.667, 0.333, 0.739], [0.667, 0.333, 0.927]],
  "space_group": "R-3m (166)"
}

=====

No. 4
{
  "formula": "CaBe3Os",
  "functional": "SCAN",
  "state": "single point on PBEsol structure",
  "lattice_angstrom": [[4.299, 0.000, 0.000], [0.000, 4.299, 0.000], [0.000, 0.000, 4.299]],
  "species": ["Ca", "Be", "Be", "Be", "Os"],
  "fractional_positions": [[0.000, 0.000, 0.000], [0.000, 0.500, 0.500], [0.500, 0.000, 0.500], [0.500, 0.500, 0.000], [0.500, 0.500, 0.500]],
  "space_group": "Pm-3m (221)",
  "ef_mev_per_atom": 13
}

=====

| no. | calculated total energy (eV per atom) | magnetization (μB per formula unit) |
| --- | --- | --- |
| 1 | -62.510 | 0.000 |
| 2 | -29.900 | 0.000 |
| 3 | -23.530 | 0.000 |
| 4 | -18.908 | 0.000 |